{
  "formula": "Tb4NdAl3",
  "functional": "PBE",
  "state": "optimized geometry",
  "cell": [[-1.795, -3.952, -2.133], [2.402, -4.894, 7.044], [-8.595, 1.689, 4.104]],
  "species": ["Nd", "Nd", "Tb", "Tb", "Tb", "Tb", "Tb", "Tb", "Tb", "Tb", "Al", "Al", "Al", "Al", "Al", "Al"],
  "fractional_positions": [[0.000, 0.500, 0.000], [0.000, 0.500, 0.500], [0.500, 0.777, 0.000], [0.500, 0.777, 0.500], [0.500, 0.223, 0.000], [0.500, 0.223, 0.500], [0.000, 0.777, 0.750], [0.000, 0.777, 0.250], [0.000, 0.223, 0.250], [0.000, 0.223, 0.750], [0.000, 0.000, 0.000], [0.000, 0.000, 0.500], [0.500, 0.000, 0.750], [0.500, 0.000, 0.250], [0.500, 0.500, 0.750], [0.500, 0.500, 0.250]],
  "relative_energy_ev_per_atom": 0.000,
  "spacegroup": "P4/mmm"
}

***

{
  "formula": "CoRu2Pt",
  "functional": "PBE",
  "state": "optimized geometry",
  "cell": [[4.644, 0.001, -0.002], [3.866, 2.573, -0.002], [0.783, 0.237, 4.581]],
  "species": ["Co", "Pt", "Ru", "Ru"],
  "fractional_positions": [[0.498, 0.498, 0.505], [0.248, 0.248, 0.262], [0.003, 0.003, 0.978], [0.751, 0.751, 0.755]],
  "relative_energy_ev_per_atom": 0.028,
  "spacegroup": "Cm"
}

***

{
  "formula": "HfTi2Ga",
  "functional": "PBE",
  "state": "optimized geometry",
  "cell": [[-0.488, -3.035, -0.977], [3.016, -0.761, 0.856], [-2.209, -1.673, 6.298]],
  "species": ["Hf", "Ga", "Ti", "Ti"],
  "fractional_positions": [[0.500, 0.500, 0.500], [0.500, 0.500, 0.000], [0.000, 0.000, 0.773], [0.000, 0.000, 0.227]],
  "spacegroup": "P4/mmm",
  "final_energy_ev_per_atom": -7.39
}

***

{
  "formula": "Hf2ZrBe2",
  "functional": "PBE",
  "state": "optimized geometry",
  "cell": [[-3.136, 2.335, -1.440], [-2.442, -3.373, -0.153], [-4.365, 0.399, 4.123]],
  "species": ["Be", "Be", "Hf", "Hf", "Zr"],
  "fractional_positions": [[0.750, 0.250, 0.500], [0.250, 0.750, 0.500], [0.365, 0.365, 0.270], [0.635, 0.635, 0.730], [0.000, 0.000, 0.000]],
  "relative_energy_ev_per_atom": 0.468,
  "spacegroup": "I4/mmm"
}